Record 1
# CaLaMg (GGA-PBE, optimized geometry)
data_CaLaMg
_space_group_name_H-M_alt 'F -4 3 m'
_space_group_IT_number 216
_space_group_name_Hall 'F -4 2 3'
_cell_length_a 7.779
_cell_length_b 7.779
_cell_length_c 7.779
_cell_angle_alpha 90.00
_cell_angle_beta 90.00
_cell_angle_gamma 90.00
loop_
_atom_site_label
_atom_site_type_symbol
_atom_site_fract_x
_atom_site_fract_y
_atom_site_fract_z
Ca1 Ca 0.000 0.000 0.000
La1 La 0.000 0.000 0.500
Mg1 Mg 0.250 0.250 0.250
# DFT formation energy in eV per atom: 0.2631
# Volume in A^3/atom: 39.22

---

Record 2
# Ca2LaMg (GGA-PBE, optimized geometry)
data_Ca2LaMg
_space_group_name_H-M_alt 'P 4/m m m'
_space_group_IT_number 123
_space_group_name_Hall '-P 4 2'
_cell_length_a 3.686
_cell_length_b 3.686
_cell_length_c 10.417
_cell_angle_alpha 90.00
_cell_angle_beta 90.00
_cell_angle_gamma 90.00
loop_
_atom_site_label
_atom_site_type_symbol
_atom_site_fract_x
_atom_site_fract_y
_atom_site_fract_z
Ca1 Ca 0.000 0.000 0.221
La1 La 0.500 0.500 0.500
Mg1 Mg 0.500 0.500 0.000
# DFT formation energy in eV per atom: 0.0244
# Volume in A^3/atom: 35.38

---

Record 3
# CaLa2Mg2 (GGA-PBE, optimized geometry)
data_CaLa2Mg2
_space_group_name_H-M_alt 'I 4/m m m'
_space_group_IT_number 139
_space_group_name_Hall '-I 4 2'
_cell_length_a 4.773
_cell_length_b 4.773
_cell_length_c 15.411
_cell_angle_alpha 90.00
_cell_angle_beta 90.00
_cell_angle_gamma 90.00
loop_
_atom_site_label
_atom_site_type_symbol
_atom_site_fract_x
_atom_site_fract_y
_atom_site_fract_z
Ca1 Ca 0.000 0.000 0.000
La1 La 0.000 0.000 0.402
Mg1 Mg 0.000 0.500 0.250
# DFT formation energy in eV per atom: 0.2662
# Volume in A^3/atom: 35.11

---

Record 4
# CaLa5Mg4 (GGA-PBE, optimized geometry)
data_CaLa5Mg4
_space_group_name_H-M_alt 'P 4/m m m'
_space_group_IT_number 123
_space_group_name_Hall '-P 4 2'
_cell_length_a 3.983
_cell_length_b 3.983
_cell_length_c 20.718
_cell_angle_alpha 90.00
_cell_angle_beta 90.00
_cell_angle_gamma 90.00
loop_
_atom_site_label
_atom_site_type_symbol
_atom_site_fract_x
_atom_site_fract_y
_atom_site_fract_z
Ca1 Ca 0.000 0.000 0.000
La1 La 0.500 0.500 0.123
La2 La 0.500 0.500 0.309
La3 La 0.500 0.500 0.500
Mg1 Mg 0.000 0.000 0.215
Mg2 Mg 0.000 0.000 0.405
# DFT formation energy in eV per atom: -0.0750
# Volume in A^3/atom: 32.86

---

Repeat the first record exactly.
# CaLaMg (GGA-PBE, optimized geometry)
data_CaLaMg
_space_group_name_H-M_alt 'F -4 3 m'
_space_group_IT_number 216
_space_group_name_Hall 'F -4 2 3'
_cell_length_a 7.779
_cell_length_b 7.779
_cell_length_c 7.779
_cell_angle_alpha 90.00
_cell_angle_beta 90.00
_cell_angle_gamma 90.00
loop_
_atom_site_label
_atom_site_type_symbol
_atom_site_fract_x
_atom_site_fract_y
_atom_site_fract_z
Ca1 Ca 0.000 0.000 0.000
La1 La 0.000 0.000 0.500
Mg1 Mg 0.250 0.250 0.250
# DFT formation energy in eV per atom: 0.2631
# Volume in A^3/atom: 39.22